VASP calculation (PBE-GGA) on crystalline KTeSe2 at its relaxed geometry.

## Properties
total magnetic moment: 0.00 μB per cell
formation energy (no corrections): -0.482 eV per atom

a b c (Å): 6.3436 6.3436 7.3900
angles (deg): 112.71 112.71 89.48
Atoms (fractional coordinates):
K 0.1257 0.8743 0.7500
K 0.8743 0.1257 0.2500
Te 0.3915 0.6085 0.2500
Te 0.6085 0.3915 0.7500
Se 0.1819 0.3954 0.7985
Se 0.3954 0.1819 0.2985
Se 0.6046 0.8181 0.7015
Se 0.8181 0.6046 0.2015